# 1
Mg3NiPt, relaxed, DFT PBE-GGA; polymorph energy (0 for the lowest one) = 0 meV/atom; crystal system = cubic; energy relative to the elements = 0.8 eV per formula unit; N(E_F) = 2.1 states/eV/cell; space group = Pm-3m
1.0
4.602 0.000 0.000
0.000 4.602 0.000
0.000 0.000 4.602
Ni Mg Pt
1 3 1
Direct
0.000 0.000 0.000
0.000 0.500 0.000
0.000 0.000 0.500
0.500 0.000 0.000
0.500 0.500 0.500

---

# 2
PrSmY3Sc, relaxed, DFT PBE-GGA; crystal system = orthorhombic; energy relative to the elements = 0.3 eV per formula unit; N(E_F) = 19.1 states/eV/cell; space group = Cmcm
1.0
5.020 0.000 0.000
-2.510 7.550 0.000
0.000 0.000 10.066
Pr Sm Y Sc
2 2 6 2
Direct
0.497 0.994 0.750
0.503 0.006 0.250
0.000 0.000 0.500
0.000 0.000 0.000
0.668 0.336 0.499
0.332 0.664 0.501
0.332 0.664 0.999
0.668 0.336 0.001
0.170 0.340 0.750
0.830 0.660 0.250
0.832 0.664 0.750
0.168 0.336 0.250

---

# 3
GdYZnFe, relaxed, DFT PBE-GGA; crystal system = cubic; energy relative to the elements = -0.3 eV per formula unit; N(E_F) = 5.5 states/eV/cell; space group = F-43m
1.0
-1.487 3.571 -3.076
-3.433 -0.959 -3.424
-4.535 1.914 0.444
Y Zn Gd Fe
1 1 1 1
Direct
0.750 0.750 0.750
0.500 0.500 0.500
0.250 0.250 0.250
0.000 0.000 0.000

---

# 4
CeSiN3, relaxed, DFT PBE-GGA; raw formation energy = -4.118 eV/f.u.; crystal system = monoclinic; N(E_F) = 15.7 states/eV/cell; space group = C2/c
1.0
-3.964 -2.130 -3.333
-3.140 -4.275 4.615
-4.952 4.909 0.902
Ce Si N
4 4 12
Direct
0.250 0.905 0.095
0.750 0.095 0.905
0.250 0.319 0.681
0.750 0.681 0.319
0.712 0.621 0.790
0.788 0.210 0.379
0.288 0.379 0.210
0.212 0.790 0.621
0.648 0.772 0.997
0.852 0.003 0.228
0.352 0.228 0.003
0.148 0.997 0.772
0.846 0.392 0.838
0.654 0.162 0.608
0.154 0.608 0.162
0.346 0.838 0.392
0.437 0.620 0.699
0.063 0.301 0.380
0.563 0.380 0.301
0.937 0.699 0.620

---

# 5
ErGa4NiRu2, relaxed, DFT PBE-GGA; crystal system = trigonal; energy relative to the elements = -3.4 eV per formula unit; N(E_F) = 4.8 states/eV/cell; space group = R-3m
1.0
-1.227 2.171 3.400
1.979 -0.554 3.682
5.597 6.626 0.403
Er Ga Ni Ru
1 4 1 2
Direct
0.000 0.000 0.000
0.399 0.399 0.803
0.869 0.869 0.394
0.131 0.131 0.606
0.601 0.601 0.197
0.500 0.500 0.500
0.766 0.766 0.703
0.234 0.234 0.297

---

# 6
RbThTe3Se, relaxed, DFT PBE-GGA; raw formation energy = -5.366 eV/f.u.; crystal system = monoclinic; N(E_F) = 2.5 states/eV/cell; space group = P2_1/m
1.0
4.487 0.000 0.000
0.000 10.117 0.664
0.000 -4.175 10.058
Rb Th Te Se
2 2 6 2
Direct
0.250 0.183 0.209
0.750 0.817 0.791
0.250 0.674 0.185
0.750 0.326 0.815
0.750 0.876 0.148
0.250 0.124 0.852
0.250 0.626 0.464
0.750 0.374 0.536
0.750 0.437 0.125
0.250 0.563 0.875
0.250 0.239 0.561
0.750 0.761 0.439

---

# 7
LaDyErSe3, relaxed, DFT PBE-GGA; raw formation energy = -10.001 eV/f.u.; crystal system = monoclinic; N(E_F) = 8.2 states/eV/cell; space group = P2_1/m
1.0
4.111 0.000 0.000
0.000 8.003 -0.185
0.000 -2.254 10.016
La Dy Er Se
2 2 2 6
Direct
0.250 0.188 0.212
0.750 0.812 0.788
0.250 0.668 0.090
0.750 0.332 0.910
0.250 0.168 0.622
0.750 0.832 0.378
0.750 0.911 0.113
0.250 0.089 0.887
0.250 0.794 0.554
0.750 0.206 0.446
0.750 0.483 0.196
0.250 0.517 0.804

---

# 8
PmZn2GePt, relaxed, DFT PBE-GGA; crystal system = orthorhombic; energy relative to the elements = -3.2 eV per formula unit; N(E_F) = 2.2 states/eV/cell; space group = Imm2
1.0
-3.285 -2.644 0.443
2.637 -3.096 1.073
-0.111 4.262 4.328
Pm Zn Ge Pt
1 2 1 1
Direct
0.439 0.439 0.877
0.688 0.188 0.376
0.059 0.059 0.119
0.828 0.828 0.657
0.198 0.698 0.396

---

# 9
CoPPb, relaxed, DFT PBE-GGA; crystal system = trigonal; energy relative to the elements = -0.1 eV per formula unit; N(E_F) = 2.3 states/eV/cell; space group = P3m1
1.0
-0.483 -2.437 -2.821
3.093 -0.179 2.129
-2.192 -2.964 2.936
Co P Pb
1 1 1
Direct
0.000 0.000 0.165
0.667 0.333 0.167
0.333 0.667 0.668

---

# 10
Pr2Sm2Ga3, relaxed, DFT PBE-GGA; crystal system = monoclinic; energy relative to the elements = -3.0 eV per formula unit; N(E_F) = 8.1 states/eV/cell; space group = C2/m
1.0
-0.060 -3.215 -2.624
5.537 -1.067 4.463
-6.881 -2.048 2.668
Pr Sm Ga
2 2 3
Direct
0.886 0.773 0.212
0.114 0.227 0.788
0.832 0.663 0.719
0.168 0.337 0.281
0.500 0.000 0.000
0.582 0.163 0.461
0.418 0.837 0.539

---

# 11
SrOsPd2, relaxed, DFT PBE-GGA; polymorph energy (0 for the lowest one) = 0 meV/atom; crystal system = cubic; energy relative to the elements = 1.8 eV per formula unit; N(E_F) = 2.3 states/eV/cell; space group = Fm-3m
1.0
2.280 -3.006 -2.915
1.070 -4.404 1.480
-2.302 -3.754 -1.828
Sr Os Pd
1 1 2
Direct
0.000 0.000 0.000
0.500 0.500 0.500
0.250 0.250 0.250
0.750 0.750 0.750

---

# 12
Sr6Bi2PN, relaxed, DFT PBE-GGA; raw formation energy = -9.153 eV/f.u.; crystal system = monoclinic; N(E_F) = 0.1 states/eV/cell; space group = P2_1/c
1.0
-2.781 -6.466 -3.263
1.707 -3.995 6.462
-10.011 2.279 4.053
Sr Bi P N
12 4 2 2
Direct
0.275 0.698 0.028
0.775 0.802 0.528
0.725 0.302 0.972
0.225 0.198 0.472
0.303 0.724 0.473
0.803 0.776 0.973
0.697 0.276 0.527
0.197 0.224 0.027
0.948 0.509 0.237
0.448 0.991 0.737
0.052 0.491 0.763
0.552 0.009 0.263
0.005 0.971 0.250
0.505 0.529 0.750
0.995 0.029 0.750
0.495 0.471 0.250
0.500 0.000 0.000
0.000 0.500 0.500
0.500 0.000 0.500
0.000 0.500 0.000

---

# 13
YSc4Pd5, relaxed, DFT PBE-GGA; crystal system = tetragonal; energy relative to the elements = -8.9 eV per formula unit; N(E_F) = 6.3 states/eV/cell; space group = P4/mmm
1.0
-2.281 1.870 -1.481
-2.364 -2.047 1.057
-1.672 9.363 14.396
Y Sc Pd
1 4 5
Direct
0.000 0.000 0.000
0.000 0.000 0.207
0.000 0.000 0.403
0.000 0.000 0.597
0.000 0.000 0.793
0.500 0.500 0.115
0.500 0.500 0.306
0.500 0.500 0.500
0.500 0.500 0.694
0.500 0.500 0.885

---

# 14
SmInN, relaxed, DFT PBE-GGA; raw formation energy = -1.983 eV/f.u.; crystal system = tetragonal; N(E_F) = 1.2 states/eV/cell; space group = I4mm
1.0
3.407 0.000 0.000
0.000 3.407 0.000
-1.704 -1.704 5.867
In Sm N
1 1 1
Direct
0.028 0.028 0.056
0.754 0.754 0.508
0.218 0.218 0.436

---

# 15
Na2Ga5Sn, relaxed, DFT PBE-GGA; crystal system = orthorhombic; energy relative to the elements = -1.0 eV per formula unit; N(E_F) = 5.4 states/eV/cell; space group = Cmcm
1.0
-0.289 4.322 1.109
-5.705 -1.008 -6.574
-6.777 -2.043 6.194
Na Ga Sn
4 10 2
Direct
0.810 0.621 0.750
0.190 0.379 0.250
0.000 0.000 0.000
0.000 0.000 0.500
0.195 0.390 0.894
0.805 0.610 0.106
0.195 0.390 0.606
0.805 0.610 0.394
0.348 0.695 0.971
0.652 0.305 0.029
0.348 0.695 0.529
0.652 0.305 0.471
0.616 0.232 0.750
0.384 0.768 0.250
0.455 0.910 0.750
0.545 0.090 0.250

---

# 16
Ca2ZnNi5Ge2, relaxed, DFT PBE-GGA; crystal system = tetragonal; energy relative to the elements = -2.3 eV per formula unit; N(E_F) = 13.9 states/eV/cell; space group = P4/mbm
1.0
3.104 0.000 0.000
0.000 9.966 0.000
0.000 0.000 9.966
Ca Zn Ni Ge
4 2 10 4
Direct
0.000 0.672 0.172
0.000 0.328 0.828
0.000 0.172 0.328
0.000 0.828 0.672
0.000 0.000 0.000
0.000 0.500 0.500
0.500 0.196 0.058
0.500 0.804 0.942
0.500 0.058 0.804
0.500 0.696 0.442
0.500 0.942 0.196
0.500 0.304 0.558
0.500 0.558 0.696
0.500 0.442 0.304
0.500 0.500 0.000
0.500 0.000 0.500
0.000 0.129 0.629
0.000 0.871 0.371
0.000 0.629 0.871
0.000 0.371 0.129

---

# 17
Tb3Pm2YEr6, relaxed, DFT PBE-GGA; crystal system = monoclinic; energy relative to the elements = 0.2 eV per formula unit; N(E_F) = 15.4 states/eV/cell; space group = C2/m
1.0
-2.453 5.160 2.272
1.578 -4.577 3.791
10.859 4.351 -0.923
Tb Pm Y Er
3 2 1 6
Direct
0.167 0.833 0.500
0.833 0.167 0.500
0.500 0.500 0.500
0.333 0.667 0.000
0.667 0.333 0.000
0.000 0.000 0.000
0.916 0.582 0.748
0.751 0.751 0.252
0.084 0.418 0.252
0.582 0.916 0.748
0.249 0.249 0.748
0.418 0.084 0.252

---

# 18
SiPAu, relaxed, DFT PBE-GGA; raw formation energy = 0.089 eV/f.u.; polymorph energy (0 for the lowest one) = 228 meV/atom; crystal system = trigonal; N(E_F) = 0.6 states/eV/cell; space group = P3m1
1.0
-3.067 -0.204 1.635
2.353 -2.537 0.389
1.856 2.299 3.767
Au P Si
1 1 1
Direct
0.000 0.000 0.987
0.667 0.333 0.379
0.333 0.667 0.634

---

# 19
Sc2Sb2Br, relaxed, DFT PBE-GGA; raw formation energy = -2.823 eV/f.u.; polymorph energy (0 for the lowest one) = 261 meV/atom; crystal system = tetragonal; N(E_F) = 8.0 states/eV/cell; space group = P4/mbm
1.0
8.831 0.000 0.000
0.000 8.831 0.000
0.000 0.000 3.339
Sc Sb Br
4 4 2
Direct
0.157 0.657 0.500
0.657 0.843 0.500
0.843 0.343 0.500
0.343 0.157 0.500
0.363 0.863 0.000
0.863 0.637 0.000
0.637 0.137 0.000
0.137 0.363 0.000
0.000 0.000 0.000
0.500 0.500 0.000

---

# 20
Na2NdOsO6, relaxed, DFT PBE-GGA; raw formation energy = -18.161 eV/f.u.; crystal system = monoclinic; N(E_F) = 8.0 states/eV/cell; space group = P2_1/c
1.0
5.709 0.000 -0.038
0.000 5.858 0.000
-0.005 0.000 8.191
Na Nd Os O
4 2 2 12
Direct
0.009 0.960 0.252
0.509 0.540 0.752
0.991 0.040 0.748
0.491 0.460 0.248
0.500 0.000 0.000
0.000 0.500 0.500
0.500 0.000 0.500
0.000 0.500 0.000
0.272 0.675 0.045
0.772 0.825 0.545
0.728 0.325 0.955
0.228 0.175 0.455
0.332 0.729 0.446
0.832 0.771 0.946
0.668 0.271 0.554
0.168 0.229 0.054
0.906 0.534 0.222
0.406 0.966 0.722
0.094 0.466 0.778
0.594 0.034 0.278